# 1
Entry from Alexandria: Li4Er3In4 after structural relaxation (GGA-PBE).

Size of the total moment   0.0 μB per formula unit
Formation energy from the elements   -0.33 eV/atom
DOS at the Fermi energy   0.49 states/eV/atom

abc: 3.3922 4.8885 30.5281
angles: 90.00 90.00 90.00
Closest atoms and distances in Å follow each position.
Space group Immm (No. 71)
Unique sites:
Li: 0.0000 0.0000 0.0923  3 In 2.77
Li: 0.0000 0.5000 0.2389  4 In 2.93-2.98, 4 Li 3.05
Er: 0.0000 0.0000 0.3575  6 In 3.22-3.30, 6 Li 3.35-3.40, 2 Er 3.39
Er: 0.0000 0.5000 0.5000  4 Li 3.29, 8 In 3.34, 2 Er 3.39
In: 0.0000 0.0000 0.1829  5 Li 2.77-2.98
In: 0.0000 0.5000 0.0499  2 Li 2.77, 1 In 3.05

***

# 2
Entry from Alexandria: Pr6NdY3Er2 after structural relaxation (GGA-PBE).

Size of the total moment   0.0 μB per formula unit
Formation energy from the elements   0.01 eV/atom
DOS at the Fermi energy   1.17 states/eV/atom

abc: 6.3287 10.9626 11.9495
angles: 90.00 100.15 90.00
Closest atoms and distances in Å follow each position.
Space group C2/m (No. 12)
Unique sites:
Pr: 0.2493 0.1671 0.2501  2 Er 3.61-3.62, 3 Y 3.62, 1 Nd 3.62, 6 Pr 3.65-3.66
Pr: 0.2495 0.0000 0.7497  2 Er 3.62, 1 Nd 3.62, 3 Y 3.62, 6 Pr 3.65-3.66
Nd: 0.0000 0.5000 0.5000  6 Pr 3.62, 6 Er 3.65-3.66
Y: 0.0000 0.0000 0.0000  6 Pr 3.62, 6 Y 3.65
Y: 0.0000 0.3332 0.0000  6 Pr 3.62, 6 Y 3.65-3.66
Er: 0.0000 0.1666 0.5000  6 Pr 3.61-3.62, 3 Er 3.65-3.66, 3 Nd 3.65-3.66